--- one ---
This record from Alexandria describes crystalline AcPr7Sm12 at its relaxed geometry. The functional is PBE.

Values from the calculation:
The volume comes out at 35.886 Å³ per atom.

POSCAR file:
```
AcPr7Sm12
1.0
6.201 3.580 5.388
-6.201 3.580 5.388
0.000 -7.161 5.388
Ac Pr Sm
1 7 12
Direct
0.000 0.000 0.000 Ac
0.067 0.395 0.156 Pr
0.156 0.067 0.395 Pr
0.395 0.156 0.067 Pr
0.500 0.500 0.500 Pr
0.605 0.844 0.933 Pr
0.844 0.933 0.605 Pr
0.933 0.605 0.844 Pr
0.134 0.624 0.493 Sm
0.147 0.279 0.730 Sm
0.270 0.853 0.721 Sm
0.279 0.730 0.147 Sm
0.376 0.507 0.866 Sm
0.493 0.134 0.624 Sm
0.507 0.866 0.376 Sm
0.624 0.493 0.134 Sm
0.721 0.270 0.853 Sm
0.730 0.147 0.279 Sm
0.853 0.721 0.270 Sm
0.866 0.376 0.507 Sm
```

--- two ---
This record from Alexandria describes crystalline AcPr7Sm12 at its relaxed geometry. The functional is PBE.

Values from the calculation:
The volume comes out at 39.346 Å³ per atom.

POSCAR file:
```
AcPr7Sm12
1.0
-5.816 5.816 5.816
5.816 -5.816 5.816
5.816 5.816 -5.816
Ac Pr Sm
1 7 12
Direct
0.000 0.000 0.000 Ac
0.000 0.000 0.500 Pr
0.000 0.500 0.000 Pr
0.000 0.500 0.500 Pr
0.500 0.000 0.000 Pr
0.500 0.000 0.500 Pr
0.500 0.500 0.000 Pr
0.500 0.500 0.500 Pr
0.000 0.254 0.746 Sm
0.000 0.746 0.254 Sm
0.254 0.000 0.746 Sm
0.254 0.254 0.507 Sm
0.254 0.507 0.254 Sm
0.254 0.746 0.000 Sm
0.493 0.746 0.746 Sm
0.507 0.254 0.254 Sm
0.746 0.000 0.254 Sm
0.746 0.254 0.000 Sm
0.746 0.493 0.746 Sm
0.746 0.746 0.493 Sm
```

Stability, highest: one

--- one ---
This record from Alexandria describes crystalline Ac2Pr2Sm at its relaxed geometry. The functional is PBE.

Values from the calculation:
The volume comes out at 41.802 Å³ per atom.

POSCAR file:
```
Ac2Pr2Sm
1.0
-2.494 2.494 8.398
2.494 -2.494 8.398
2.494 2.494 -8.398
Ac Pr Sm
2 2 1
Direct
0.250 0.750 0.500 Ac
0.750 0.250 0.500 Ac
0.091 0.091 0.000 Pr
0.909 0.909 0.000 Pr
0.500 0.500 0.000 Sm
```

--- two ---
This record from Alexandria describes crystalline Ac2Pr2Sm at its relaxed geometry. The functional is PBE.

Values from the calculation:
The volume comes out at 39.153 Å³ per atom.

POSCAR file:
```
Ac2Pr2Sm
1.0
5.989 -2.702 0.000
5.989 2.702 0.000
-5.951 0.000 6.050
Ac Pr Sm
2 2 1
Direct
0.097 0.097 0.301 Ac
0.903 0.903 0.699 Ac
0.300 0.300 0.904 Pr
0.700 0.700 0.096 Pr
0.500 0.500 0.500 Sm
```

Stability, highest: two

--- one ---
This record from Alexandria describes crystalline AcPr2Sm at its relaxed geometry. The functional is PBE.

Values from the calculation:
The volume comes out at 37.539 Å³ per atom.

POSCAR file:
```
AcPr2Sm
1.0
4.362 0.000 0.000
0.000 4.362 0.000
0.000 0.000 7.892
Ac Pr Sm
1 2 1
Direct
0.000 0.000 0.000 Ac
0.500 0.500 0.276 Pr
0.500 0.500 0.724 Pr
0.000 0.000 0.500 Sm
```

--- two ---
This record from Alexandria describes crystalline AcPr2Sm at its relaxed geometry. The functional is PBE.

Values from the calculation:
The volume comes out at 37.839 Å³ per atom.

POSCAR file:
```
AcPr2Sm
1.0
1.898 1.096 12.132
-1.898 1.096 12.132
0.000 -2.191 12.132
Ac Pr Sm
1 2 1
Direct
0.000 0.000 0.000 Ac
0.419 0.419 0.419 Pr
0.580 0.580 0.580 Pr
0.833 0.833 0.833 Sm
```

--- three ---
This record from Alexandria describes crystalline AcPr2Sm at its relaxed geometry. The functional is PBE.

Values from the calculation:
The volume comes out at 37.420 Å³ per atom.

POSCAR file:
```
AcPr2Sm
1.0
5.299 0.000 0.000
0.000 5.299 0.000
0.000 0.000 5.330
Ac Pr Sm
1 2 1
Direct
0.000 0.000 0.000 Ac
0.000 0.500 0.500 Pr
0.500 0.000 0.500 Pr
0.500 0.500 0.000 Sm
```

Stability, highest: three

--- one ---
This record from Alexandria describes crystalline AcPr2Sm at its relaxed geometry. The functional is PBE.

Values from the calculation:
The volume comes out at 38.367 Å³ per atom.

POSCAR file:
```
AcPr2Sm
1.0
1.839 1.062 13.102
-1.839 1.062 13.102
0.000 -2.123 13.102
Ac Pr Sm
1 2 1
Direct
0.000 0.000 0.000 Ac
0.092 0.092 0.092 Pr
0.908 0.908 0.908 Pr
0.500 0.500 0.500 Sm
```

--- two ---
This record from Alexandria describes crystalline AcPr2Sm at its relaxed geometry. The functional is PBE.

Values from the calculation:
The volume comes out at 37.646 Å³ per atom.

POSCAR file:
```
AcPr2Sm
1.0
6.258 -1.889 0.000
6.258 1.889 0.000
-1.145 0.000 6.370
Ac Pr Sm
1 2 1
Direct
0.000 0.000 0.000 Ac
0.248 0.248 0.746 Pr
0.752 0.752 0.254 Pr
0.500 0.500 0.500 Sm
```

Stability, highest: two

--- one ---
This record from Alexandria describes crystalline AcPr4Sm3 at its relaxed geometry. The functional is PBE.

Values from the calculation:
The volume comes out at 36.230 Å³ per atom.

POSCAR file:
```
AcPr4Sm3
1.0
10.495 0.000 0.000
0.000 7.441 0.000
0.000 0.000 7.423
Ac Pr Sm
2 8 6
Direct
0.000 0.000 0.000 Ac
0.500 0.000 0.500 Ac
0.000 0.000 0.500 Pr
0.000 0.500 0.000 Pr
0.250 0.256 0.250 Pr
0.250 0.744 0.750 Pr
0.500 0.000 0.000 Pr
0.500 0.500 0.500 Pr
0.750 0.256 0.250 Pr
0.750 0.744 0.750 Pr
0.000 0.500 0.500 Sm
0.250 0.255 0.750 Sm
0.250 0.745 0.250 Sm
0.500 0.500 0.000 Sm
0.750 0.255 0.750 Sm
0.750 0.745 0.250 Sm
```

--- two ---
This record from Alexandria describes crystalline AcPr4Sm3 at its relaxed geometry. The functional is PBE.

Values from the calculation:
The volume comes out at 37.057 Å³ per atom.

POSCAR file:
```
AcPr4Sm3
1.0
6.071 -6.875 0.000
6.071 6.875 0.000
0.000 0.000 3.552
Ac Pr Sm
1 4 3
Direct
0.000 0.000 0.000 Ac
0.259 0.741 0.000 Pr
0.261 0.261 0.500 Pr
0.739 0.739 0.500 Pr
0.741 0.259 0.000 Pr
0.000 0.500 0.500 Sm
0.500 0.000 0.500 Sm
0.500 0.500 0.000 Sm
```

Stability, highest: one

--- one ---
This record from Alexandria describes crystalline Ac4PrSm at its relaxed geometry. The functional is PBE.

Values from the calculation:
The volume comes out at 43.650 Å³ per atom.

POSCAR file:
```
Ac4PrSm
1.0
0.000 5.078 5.078
5.078 0.000 5.078
5.078 5.078 0.000
Ac Pr Sm
4 1 1
Direct
0.125 0.125 0.125 Ac
0.125 0.125 0.626 Ac
0.125 0.626 0.125 Ac
0.626 0.125 0.125 Ac
0.500 0.500 0.500 Pr
0.750 0.750 0.750 Sm
```

--- two ---
This record from Alexandria describes crystalline Ac4PrSm at its relaxed geometry. The functional is PBE.

Values from the calculation:
The volume comes out at 48.138 Å³ per atom.

POSCAR file:
```
Ac4PrSm
1.0
5.098 -2.937 0.000
5.098 2.937 0.000
-3.395 0.000 9.646
Ac Pr Sm
4 1 1
Direct
0.124 0.124 0.372 Ac
0.374 0.374 0.123 Ac
0.626 0.626 0.877 Ac
0.876 0.876 0.628 Ac
0.500 0.500 0.500 Pr
0.000 0.000 0.000 Sm
```

--- three ---
This record from Alexandria describes crystalline Ac4PrSm at its relaxed geometry. The functional is PBE.

Values from the calculation:
The volume comes out at 41.636 Å³ per atom.

POSCAR file:
```
Ac4PrSm
1.0
2.782 -8.123 0.000
2.782 8.123 0.000
0.000 0.000 5.526
Ac Pr Sm
4 1 1
Direct
0.161 0.839 0.000 Ac
0.338 0.662 0.500 Ac
0.662 0.338 0.500 Ac
0.839 0.161 0.000 Ac
0.500 0.500 0.000 Pr
0.000 0.000 0.500 Sm
```

Stability, highest: three

--- one ---
This record from Alexandria describes crystalline Ac3Pr2Sm at its relaxed geometry. The functional is PBE.

Values from the calculation:
The volume comes out at 40.445 Å³ per atom.

POSCAR file:
```
Ac3Pr2Sm
1.0
9.141 0.000 0.000
0.000 3.922 0.000
-0.068 0.000 13.536
Ac Pr Sm
6 4 2
Direct
0.088 0.250 0.390 Ac
0.336 0.750 0.945 Ac
0.399 0.750 0.250 Ac
0.601 0.250 0.750 Ac
0.664 0.250 0.055 Ac
0.912 0.750 0.610 Ac
0.078 0.250 0.111 Pr
0.354 0.750 0.552 Pr
0.646 0.250 0.448 Pr
0.922 0.750 0.889 Pr
0.189 0.250 0.743 Sm
0.811 0.750 0.257 Sm
```

--- two ---
This record from Alexandria describes crystalline Ac3Pr2Sm at its relaxed geometry. The functional is PBE.

Values from the calculation:
The volume comes out at 40.185 Å³ per atom.

POSCAR file:
```
Ac3Pr2Sm
1.0
4.816 -5.385 0.000
4.816 5.385 0.000
-1.889 0.000 9.298
Ac Pr Sm
6 4 2
Direct
0.058 0.942 0.750 Ac
0.203 0.367 0.021 Ac
0.367 0.203 0.521 Ac
0.633 0.797 0.479 Ac
0.797 0.633 0.979 Ac
0.942 0.058 0.250 Ac
0.116 0.618 0.381 Pr
0.382 0.884 0.119 Pr
0.618 0.116 0.881 Pr
0.884 0.382 0.619 Pr
0.381 0.619 0.750 Sm
0.619 0.381 0.250 Sm
```

Stability, highest: one

--- one ---
This record from Alexandria describes crystalline Ac2PrSm at its relaxed geometry. The functional is PBE.

Values from the calculation:
The volume comes out at 39.635 Å³ per atom.

POSCAR file:
```
Ac2PrSm
1.0
3.873 0.000 0.000
0.000 3.873 0.000
0.000 0.000 10.570
Ac Pr Sm
2 1 1
Direct
0.000 0.000 0.247 Ac
0.000 0.000 0.753 Ac
0.500 0.500 0.500 Pr
0.500 0.500 0.000 Sm
```

--- two ---
This record from Alexandria describes crystalline Ac2PrSm at its relaxed geometry. The functional is PBE.

Values from the calculation:
The volume comes out at 39.869 Å³ per atom.

POSCAR file:
```
Ac2PrSm
1.0
0.000 4.304 4.304
4.304 0.000 4.304
4.304 4.304 0.000
Ac Pr Sm
2 1 1
Direct
0.250 0.250 0.250 Ac
0.750 0.750 0.750 Ac
0.000 0.000 0.000 Pr
0.500 0.500 0.500 Sm
```

Stability, highest: one

--- one ---
This record from Alexandria describes crystalline AcPr12Sm7 at its relaxed geometry. The functional is PBE.

Values from the calculation:
The volume comes out at 40.711 Å³ per atom.

POSCAR file:
```
AcPr12Sm7
1.0
-5.882 5.882 5.882
5.882 -5.882 5.882
5.882 5.882 -5.882
Ac Pr Sm
1 12 7
Direct
0.000 0.000 0.000 Ac
0.000 0.255 0.745 Pr
0.000 0.745 0.255 Pr
0.255 0.000 0.745 Pr
0.255 0.255 0.509 Pr
0.255 0.509 0.255 Pr
0.255 0.745 0.000 Pr
0.491 0.745 0.745 Pr
0.509 0.255 0.255 Pr
0.745 0.000 0.255 Pr
0.745 0.255 0.000 Pr
0.745 0.491 0.745 Pr
0.745 0.745 0.491 Pr
0.000 0.000 0.500 Sm
0.000 0.500 0.000 Sm
0.000 0.500 0.500 Sm
0.500 0.000 0.000 Sm
0.500 0.000 0.500 Sm
0.500 0.500 0.000 Sm
0.500 0.500 0.500 Sm
```

--- two ---
This record from Alexandria describes crystalline AcPr12Sm7 at its relaxed geometry. The functional is PBE.

Values from the calculation:
The volume comes out at 36.079 Å³ per atom.

POSCAR file:
```
AcPr12Sm7
1.0
6.334 3.657 5.192
-6.334 3.657 5.192
0.000 -7.314 5.192
Ac Pr Sm
1 12 7
Direct
0.000 0.000 0.000 Ac
0.126 0.268 0.715 Pr
0.147 0.626 0.505 Pr
0.268 0.715 0.126 Pr
0.285 0.874 0.732 Pr
0.374 0.495 0.853 Pr
0.495 0.853 0.374 Pr
0.505 0.147 0.626 Pr
0.626 0.505 0.147 Pr
0.715 0.126 0.268 Pr
0.732 0.285 0.874 Pr
0.853 0.374 0.495 Pr
0.874 0.732 0.285 Pr
0.060 0.387 0.158 Sm
0.158 0.060 0.387 Sm
0.387 0.158 0.060 Sm
0.500 0.500 0.500 Sm
0.613 0.842 0.940 Sm
0.842 0.940 0.613 Sm
0.940 0.613 0.842 Sm
```

Stability, highest: two

--- one ---
This record from Alexandria describes crystalline Ac2Pr4Sm at its relaxed geometry. The functional is PBE.

Values from the calculation:
The volume comes out at 38.674 Å³ per atom.

POSCAR file:
```
Ac2Pr4Sm
1.0
2.957 1.707 8.936
-2.957 1.707 8.936
0.000 -3.415 8.936
Ac Pr Sm
2 4 1
Direct
0.133 0.133 0.133 Ac
0.867 0.867 0.867 Ac
0.273 0.273 0.273 Pr
0.407 0.407 0.407 Pr
0.593 0.593 0.593 Pr
0.727 0.727 0.727 Pr
0.000 0.000 0.000 Sm
```

--- two ---
This record from Alexandria describes crystalline Ac2Pr4Sm at its relaxed geometry. The functional is PBE.

Values from the calculation:
The volume comes out at 38.252 Å³ per atom.

POSCAR file:
```
Ac2Pr4Sm
1.0
7.579 0.000 0.000
1.900 8.198 0.000
0.020 3.386 8.619
Ac Pr Sm
4 8 2
Direct
0.000 0.000 0.000 Ac
0.073 0.717 0.431 Ac
0.500 0.000 0.000 Ac
0.927 0.283 0.569 Ac
0.143 0.433 0.859 Pr
0.291 0.854 0.714 Pr
0.361 0.563 0.146 Pr
0.429 0.283 0.573 Pr
0.571 0.717 0.427 Pr
0.639 0.437 0.854 Pr
0.709 0.146 0.286 Pr
0.857 0.567 0.141 Pr
0.218 0.147 0.285 Sm
0.782 0.853 0.715 Sm
```

Stability, highest: two